Record 1
Density functional theory data (PBE) for TlIn7Ga3 after structural relaxation.

Lattice parameters (Å, degrees): 7.076 6.661 6.661 108.77 95.02 95.02
Sites, in units of the cell vectors:
Ga: 0.000 0.761 0.239
Ga: 0.500 0.000 0.000
Ga: 0.000 0.239 0.761
In: 0.695 0.407 0.017
In: 0.695 0.017 0.407
In: 0.305 0.983 0.593
In: 0.305 0.593 0.983
In: 0.834 0.844 0.844
In: 0.000 0.500 0.500
In: 0.166 0.156 0.156
Tl: 0.500 0.500 0.500

Computed properties:
Calculated formation energy: 0.07 eV per atom
M_tot: 0.000 μB/f.u.

***

Record 2
Density functional theory data (PBE) for Tl2InGa after structural relaxation.

Lattice parameters (Å, degrees): 4.852 4.852 6.419 67.79 67.79 60.00
Sites, in units of the cell vectors:
Tl: 0.067 0.067 0.799
Tl: 0.266 0.266 0.201
Ga: 0.674 0.674 0.978
In: 0.493 0.493 0.522

Computed properties:
Calculated formation energy: 0.13 eV per atom
M_tot: 0.000 μB/f.u.
ΔE to the lowest computed polymorph: 63 meV per atom

***

Record 3
Density functional theory data (PBE) for TlIn12Ga5 after structural relaxation.

Lattice parameters (Å, degrees): 8.502 8.502 8.502 101.63 111.14 115.97
Sites, in units of the cell vectors:
In: 0.463 0.192 0.271
In: 0.722 0.690 0.412
In: 0.079 0.808 0.271
In: 0.537 0.808 0.729
In: 0.798 0.042 0.244
In: 0.202 0.958 0.756
In: 0.278 0.310 0.588
In: 0.278 0.690 0.967
In: 0.722 0.310 0.033
In: 0.798 0.555 0.756
In: 0.202 0.445 0.244
In: 0.921 0.192 0.729
Tl: 0.000 0.500 0.500
Ga: 0.645 0.645 0.000
Ga: 0.000 0.000 0.000
Ga: 0.500 0.876 0.376
Ga: 0.355 0.355 0.000
Ga: 0.500 0.124 0.624

Computed properties:
Calculated formation energy: 0.05 eV per atom
M_tot: 0.000 μB/f.u.

***

Record 4
Density functional theory data (PBE) for TlIn3Ga after structural relaxation.

Lattice parameters (Å, degrees): 5.409 5.409 5.409 90.00 90.00 90.00
Sites, in units of the cell vectors:
In: 0.000 0.500 0.000
In: 0.500 0.000 0.000
In: 0.000 0.000 0.500
Tl: 0.500 0.500 0.500
Ga: 0.000 0.000 0.000

Computed properties:
Calculated formation energy: 0.22 eV per atom
M_tot: 0.000 μB/f.u.
ΔE to the lowest computed polymorph: 187 meV per atom

***

Record 5
Density functional theory data (PBE) for TlIn3Ga after structural relaxation.

Lattice parameters (Å, degrees): 6.307 9.273 9.446 90.31 90.00 90.00
Sites, in units of the cell vectors:
In: 0.487 0.665 0.033
In: 0.471 0.946 0.833
In: 0.095 0.243 0.157
In: 0.987 0.335 0.467
In: 0.405 0.243 0.657
In: 0.029 0.946 0.333
In: 0.971 0.054 0.667
In: 0.905 0.757 0.843
In: 0.513 0.335 0.967
In: 0.595 0.757 0.343
In: 0.013 0.665 0.533
In: 0.529 0.054 0.167
Ga: 0.653 0.090 0.451
Ga: 0.847 0.090 0.951
Ga: 0.347 0.910 0.549
Ga: 0.153 0.910 0.049
Tl: 0.498 0.598 0.668
Tl: 0.002 0.598 0.168
Tl: 0.998 0.402 0.832
Tl: 0.502 0.402 0.332

Computed properties:
Calculated formation energy: 0.05 eV per atom
M_tot: 0.000 μB/f.u.
ΔE to the lowest computed polymorph: 22 meV per atom

***

Record 6
Density functional theory data (PBE) for Tl6In8Ga after structural relaxation.

Lattice parameters (Å, degrees): 8.636 8.636 8.636 57.46 57.46 57.46
Sites, in units of the cell vectors:
In: 0.423 0.423 0.423
In: 0.330 0.197 0.885
In: 0.803 0.115 0.670
In: 0.197 0.885 0.330
In: 0.670 0.803 0.115
In: 0.885 0.330 0.197
In: 0.115 0.670 0.803
In: 0.577 0.577 0.577
Tl: 0.547 0.260 0.068
Tl: 0.740 0.932 0.453
Tl: 0.932 0.453 0.740
Tl: 0.068 0.547 0.260
Tl: 0.260 0.068 0.547
Tl: 0.453 0.740 0.932
Ga: 0.000 0.000 0.000

Computed properties:
Calculated formation energy: 0.05 eV per atom
M_tot: 0.000 μB/f.u.

***

Record 7
Density functional theory data (PBE) for Tl2InGa after structural relaxation.

Lattice parameters (Å, degrees): 3.682 5.442 5.442 90.00 90.00 90.00
Sites, in units of the cell vectors:
Tl: 0.000 0.500 0.000
Tl: 0.000 0.000 0.500
Ga: 0.500 0.000 0.000
In: 0.500 0.500 0.500

Computed properties:
Calculated formation energy: 0.07 eV per atom
M_tot: 0.000 μB/f.u.
ΔE to the lowest computed polymorph: 6 meV per atom

***

Record 8
Density functional theory data (PBE) for Tl2In4Ga5 after structural relaxation.

Lattice parameters (Å, degrees): 5.415 7.234 8.622 76.03 71.70 68.02
Sites, in units of the cell vectors:
In: 0.643 0.779 0.934
In: 0.244 0.076 0.437
In: 0.357 0.221 0.066
In: 0.756 0.924 0.563
Tl: 0.694 0.360 0.252
Tl: 0.306 0.640 0.748
Ga: 0.256 0.218 0.753
Ga: 0.226 0.782 0.247
Ga: 0.774 0.218 0.753
Ga: 0.000 0.500 0.500
Ga: 0.744 0.782 0.247

Computed properties:
Calculated formation energy: 0.13 eV per atom
M_tot: 0.000 μB/f.u.

***

Look up the M_tot of the third one. 0.000 μB/f.u.

***

Look up the calculated formation energy of the eighth one. 0.13 eV per atom